Entry 1:
## Tl2ReBI (PBE)

Data for crystalline Tl2ReBI at its relaxed geometry.

```
Tl2ReBI
1.0
5.4555 0.0000 0.0000
0.0000 5.4555 0.0000
0.0000 0.0000 5.1965
Tl Re B I
2 1 1 1
Cartesian
0.0000 2.7278 0.0000
2.7278 0.0000 0.0000
0.0000 0.0000 0.0000
2.7278 2.7278 2.5983
0.0000 0.0000 2.5983
```

## Properties
**E_form (uncorrected)**: 1.6482 eV per atom
**Total moment**: 1.4 μB/f.u.
**Calculated density**: 7867 kg/m³
**Space-group type**: P4/mmm
**Total energy**: -17.17 eV for the cell shown

***

Entry 2:
## TbTm3In3 (PBE)

Data for crystalline TbTm3In3 at its relaxed geometry.

```
TbTm3In3
1.0
9.2270 0.0000 0.0000
0.0000 9.2270 0.0000
0.0000 0.0000 9.2270
Tb Tm In
4 12 12
Cartesian
0.4796 4.1339 5.0931
4.1339 5.0931 0.4796
5.0931 0.4796 4.1339
8.7474 8.7474 8.7474
1.0566 5.6701 8.1704
1.5472 1.5472 1.5472
1.8288 7.3982 2.7847
2.7847 1.8288 7.3982
3.0663 7.6798 6.1607
3.5569 3.5569 3.5569
5.6701 8.1704 1.0566
6.1607 3.0663 7.6798
6.4423 6.4423 6.4423
7.3982 2.7847 1.8288
7.6798 6.1607 3.0663
8.1704 1.0566 5.6701
0.0559 7.3390 5.5649
0.9514 4.5576 1.8880
1.8880 0.9514 4.5576
2.7255 8.2756 9.1711
3.6621 4.6694 6.5015
4.5576 1.8880 0.9514
4.6694 6.5015 3.6621
5.5649 0.0559 7.3390
6.5015 3.6621 4.6694
7.3390 5.5649 0.0559
8.2756 9.1711 2.7255
9.1711 2.7255 8.2756
```

## Properties
**Total moment**: 0.0 μB/f.u.
**Calculated density**: 8541 kg/m³
**Relative energy among the computed polymorphs**: 0.040 eV per atom
**Energy of formation**: -0.2955 eV per atom
**Space-group type**: P2_13
**Total energy**: -113.32 eV for the cell shown

***

Entry 3:
## Tl2SnAu (PBE)

Data for crystalline Tl2SnAu at its relaxed geometry.

```
Tl2SnAu
1.0
3.7387 0.0000 0.0000
0.0000 3.7387 0.0000
0.0000 0.0000 7.5336
Tl Sn Au
2 1 1
Cartesian
0.0000 0.0000 1.6625
0.0000 0.0000 5.8711
1.8693 1.8693 3.7668
1.8693 1.8693 0.0000
```

## Properties
**Total moment**: 0.0 μB/f.u.
**Calculated density**: 11424 kg/m³
**Relative energy among the computed polymorphs**: 0.104 eV per atom
**Energy of formation**: 0.0617 eV per atom
**Space-group type**: P4/mmm
**Total energy**: -11.77 eV for the cell shown

***

Entry 4:
## AcPmTePd (PBE)

Data for crystalline AcPmTePd at its relaxed geometry.

```
AcPmTePd
1.0
0.0000 3.8665 3.8665
3.8665 0.0000 3.8665
3.8665 3.8665 0.0000
Ac Pm Te Pd
1 1 1 1
Cartesian
0.0000 0.0000 0.0000
3.8665 3.8665 3.8665
1.9333 1.9333 1.9333
5.7998 5.7998 5.7998
```

## Properties
**E_form (uncorrected)**: -0.7999 eV per atom
**Total moment**: 1.6 μB/f.u.
**Calculated density**: 8705 kg/m³
**Space-group type**: F-43m
**Total energy**: -20.39 eV for the cell shown

***

Number 1: volume 30.9 Å³ per atom. Number 2: volume 28.1 Å³ per atom. Number 3: volume 26.3 Å³ per atom. Number 4: volume 28.9 Å³ per atom.